The following is a PBE calculation of DyCdAs2Rh5 after structural relaxation, from Alexandria.

It has space group P4/mmm (No. 123), with a = 4.2615 Å, b = 4.2615 Å, c = 8.5773 Å, α = 90.00°, β = 90.00° and γ = 90.00°. Symmetry generates all atoms from Dy at (0.0000, 0.0000, 0.0000), Cd at (0.0000, 0.0000, 0.5000), As at (0.5000, 0.5000, 0.3549), Rh at (0.0000, 0.5000, 0.2344) and Rh at (0.5000, 0.5000, 0.0000).

Its total energy is -55.8 eV/f.u.